(1)
A geometry-optimized PPb3I structure. Source: Alexandria via LeMat-Bulk, functional GGA-PBE.

Cell: 5.6534 5.6534 5.6534 Å, 90.00 90.00 90.00°
Positions (direct):
1 Pb 0.0000 0.0000 0.5000
2 Pb 0.0000 0.5000 0.0000
3 Pb 0.5000 0.0000 0.0000
4 I 0.5000 0.5000 0.5000
5 P 0.0000 0.0000 0.0000

Results
- Density of states at the Fermi level: 7.09 states/eV per cell
- Uncorrected formation energy: 0.266 eV/atom
- E_tot: -3.35 eV/atom
- SG: Pm-3m (221)
- Theoretical density: 7.2 Mg/m³


(2)
A geometry-optimized Pr4PPbI2 structure. Source: Alexandria via LeMat-Bulk, functional GGA-PBE.

Cell: 4.3906 7.7778 8.1809 Å, 108.14 90.00 90.00°
Positions (direct):
1 Pr 0.5000 0.7345 0.7926
2 Pr 0.5000 0.2655 0.2074
3 Pr 0.0000 0.7091 0.1971
4 Pr 0.0000 0.2909 0.8029
5 I 0.5000 0.0000 0.5000
6 I 0.0000 0.5000 0.5000
7 P 0.5000 0.5000 0.0000
8 Pb 0.0000 0.0000 0.0000

Results
- Density of states at the Fermi level: 4.05 states/eV per cell
- Uncorrected formation energy: -1.060 eV/atom
- E_tot: -4.98 eV/atom
- SG: P2/m (10)
- Theoretical density: 6.6 Mg/m³


(3)
A geometry-optimized Rb2PPbI6 structure. Source: Alexandria via LeMat-Bulk, functional GGA-PBE.

Cell: 8.5447 8.5447 8.5302 Å, 59.94 59.94 90.00°
Positions (direct):
1 Rb 0.2500 0.7500 0.5000
2 Rb 0.7500 0.2500 0.5000
3 Pb 0.0000 0.0000 0.0000
4 I 0.7377 0.7377 0.0000
5 I 0.2648 0.2648 0.4704
6 I 0.7352 0.7352 0.5296
7 I 0.2623 0.2623 0.0000
8 I 0.7377 0.2623 0.0000
9 I 0.2623 0.7377 0.0000
10 P 0.5000 0.5000 0.0000

Results
- Density of states at the Fermi level: 4.70 states/eV per cell
- Uncorrected formation energy: -0.660 eV/atom
- E_tot: -2.70 eV/atom
- SG: I4/mmm (139)
- Theoretical density: 4.4 Mg/m³


(4)
A geometry-optimized PPbS2I structure. Source: Alexandria via LeMat-Bulk, functional GGA-PBE.

Cell: 5.1903 5.1903 5.6610 Å, 90.00 90.00 90.00°
Positions (direct):
1 Pb 0.0000 0.0000 0.0000
2 S 0.5000 0.0000 0.0000
3 S 0.0000 0.5000 0.0000
4 I 0.5000 0.5000 0.5000
5 P 0.0000 0.0000 0.5000

Results
- Density of states at the Fermi level: 5.70 states/eV per cell
- Uncorrected formation energy: 0.934 eV/atom
- E_tot: -2.85 eV/atom
- SG: P4/mmm (123)
- Theoretical density: 4.7 Mg/m³


(5)
A geometry-optimized PPbS2I structure. Source: Alexandria via LeMat-Bulk, functional GGA-PBE.

Cell: 5.1023 5.1023 5.2011 Å, 90.00 90.00 90.00°
Positions (direct):
1 I 0.0000 0.0000 0.0000
2 S 0.0000 0.5000 0.0000
3 S 0.5000 0.0000 0.0000
4 P 0.0000 0.0000 0.5000
5 Pb 0.5000 0.5000 0.5000

Results
- Density of states at the Fermi level: 2.40 states/eV per cell
- Uncorrected formation energy: 0.754 eV/atom
- E_tot: -3.03 eV/atom
- SG: P4/mmm (123)
- Theoretical density: 5.3 Mg/m³


(6)
A geometry-optimized Sb2PPbI structure. Source: Alexandria via LeMat-Bulk, functional GGA-PBE.

Cell: 5.9895 5.9895 6.0787 Å, 90.00 90.00 90.00°
Positions (direct):
1 Sb 0.5000 0.0000 0.0000
2 Sb 0.0000 0.5000 0.0000
3 P 0.5000 0.5000 0.5000
4 Pb 0.0000 0.0000 0.0000
5 I 0.0000 0.0000 0.5000

Results
- Density of states at the Fermi level: 3.51 states/eV per cell
- Uncorrected formation energy: 1.155 eV/atom
- E_tot: -2.63 eV/atom
- SG: P4/mmm (123)
- Theoretical density: 4.6 Mg/m³


(7)
A geometry-optimized Sb2PPbI structure. Source: Alexandria via LeMat-Bulk, functional GGA-PBE.

Cell: 5.3656 5.3656 5.3575 Å, 90.00 90.00 90.00°
Positions (direct):
1 Sb 0.5000 0.0000 0.0000
2 Sb 0.0000 0.5000 0.0000
3 I 0.0000 0.0000 0.5000
4 Pb 0.5000 0.5000 0.5000
5 P 0.0000 0.0000 0.0000

Results
- Density of states at the Fermi level: 5.07 states/eV per cell
- Uncorrected formation energy: 0.433 eV/atom
- E_tot: -3.35 eV/atom
- SG: P4/mmm (123)
- Theoretical density: 6.6 Mg/m³


(8)
A geometry-optimized PPb6Se2I3 structure. Source: Alexandria via LeMat-Bulk, functional GGA-PBE.

Cell: 7.6536 7.6536 7.9827 Å, 98.77 98.77 114.71°
Positions (direct):
1 Pb 0.3836 0.0698 0.1964
2 Pb 0.9302 0.6164 0.8036
3 Pb 0.7566 0.7566 0.1993
4 Pb 0.0698 0.3836 0.1964
5 Pb 0.2434 0.2434 0.8007
6 Pb 0.6164 0.9302 0.8036
7 I 0.1705 0.8295 0.5000
8 I 0.5000 0.5000 0.5000
9 I 0.8295 0.1705 0.5000
10 P 0.0000 0.0000 0.0000
11 Se 0.6643 0.3357 0.0000
12 Se 0.3357 0.6643 0.0000

Results
- Density of states at the Fermi level: 4.88 states/eV per cell
- Uncorrected formation energy: -0.341 eV/atom
- E_tot: -3.61 eV/atom
- SG: C2/m (12)
- Theoretical density: 7.4 Mg/m³


Which of these has the lowest uncorrected formation energy? Pr4PPbI2